(1)
Here is crystalline Nd3As12Pb5 at its relaxed geometry from the Alexandria database. Energies are from PBE.

Crystal system: cubic
Energy relative to the elements (eV/atom): -0.20

abc: 17.2883 17.2883 17.2883
angles: 90.00 90.00 90.00
Closest atoms and distances in Å follow each position.
Space group Ia-3d (No. 230)
Inequivalent atoms, fractional coordinates:
Nd 0.0000 0.2500 0.1250 (multiplicity 24)  8 As 2.93-3.08
As 0.0095 0.0872 0.6715 (multiplicity 96)  1 As 2.52
Pb 0.0000 0.0000 0.0000 (multiplicity 16)  6 As 3.33
Pb 0.0000 0.2500 0.3750 (multiplicity 24)  4 As 2.85

=====

(2)
Here is crystalline Na2Si3Pt4Rh at its relaxed geometry from the Alexandria database. Energies are from PBE.

ΔE_f (raw) (meV per atom): -507
Crystal system: tetragonal

abc: 4.0181 4.0181 10.6728
angles: 90.00 90.00 90.00
Closest atoms and distances in Å follow each position.
Space group P-4m2 (No. 115)
Inequivalent atoms, fractional coordinates:
Na 0.0000 0.5000 0.2461 (multiplicity 2)  8 Pt 3.02-3.37, 6 Si 3.11-3.31, 2 Rh 3.31
Si 0.0000 0.0000 0.0000 (multiplicity 1)  4 Pt 2.58, 4 Rh 2.84
Si 0.0000 0.5000 0.6345 (multiplicity 2)  5 Pt 2.29-2.47
Pt 0.0000 0.0000 0.5000 (multiplicity 1)  4 Si 2.47
Pt 0.0000 0.5000 0.8490 (multiplicity 2)  1 Si 2.29
Pt 0.5000 0.5000 0.5000 (multiplicity 1)  4 Si 2.47
Rh 0.5000 0.5000 0.0000 (multiplicity 1)  4 Pt 2.58, 4 Si 2.84

=====

(3)
Here is crystalline Na6TlHg at its relaxed geometry from the Alexandria database. Energies are from PBE.

Crystal system: orthorhombic
Energy relative to the elements (eV/atom): -0.12

abc: 5.6300 7.0053 12.1187
angles: 90.00 90.00 90.00
Closest atoms and distances in Å follow each position.
Space group Amm2 (No. 38)
Inequivalent atoms, fractional coordinates:
Na 0.0000 0.0000 0.0000 (multiplicity 2)  8 Na 3.36-3.64, 2 Tl 3.42, 2 Hg 3.50
Na 0.0000 0.2396 0.2401 (multiplicity 4)  8 Na 3.36-3.65, 2 Tl 3.42, 2 Hg 3.50
Na 0.5000 0.0000 0.6548 (multiplicity 2)  8 Na 3.36-3.64, 2 Hg 3.42, 2 Tl 3.50
Na 0.5000 0.2395 0.4145 (multiplicity 4)  8 Na 3.36-3.65, 2 Hg 3.42, 2 Tl 3.50
Tl 0.5000 0.0000 0.1607 (multiplicity 2)  12 Na 3.42-3.50
Hg 0.0000 0.0000 0.4939 (multiplicity 2)  12 Na 3.42-3.50

=====

(4)
Here is crystalline PmSm2Si at its relaxed geometry from the Alexandria database. Energies are from PBE.

ΔE_f (raw) (meV per atom): -9
Crystal system: trigonal

abc: 4.8398 4.8398 17.2285
angles: 90.00 90.00 120.00
Closest atoms and distances in Å follow each position.
Space group R-3m (No. 166, hexagonal axes)
Inequivalent atoms, fractional coordinates:
Pm 0.0000 0.0000 0.0000 (multiplicity 3)  6 Sm 3.34
Sm 0.0000 0.0000 0.2269 (multiplicity 6)  3 Si 2.98
Si 0.0000 0.0000 0.5000 (multiplicity 3)  6 Sm 2.98

=====

(5)
Here is crystalline InCuReAg2 at its relaxed geometry from the Alexandria database. Energies are from PBE.

Crystal system: tetragonal
Energy relative to the elements (eV/atom): 1.73

abc: 5.0869 5.0869 4.7629
angles: 90.00 90.00 90.00
Closest atoms and distances in Å follow each position.
Space group P4/mmm (No. 123)
Inequivalent atoms, fractional coordinates:
In 0.0000 0.0000 0.0000 (multiplicity 1)  2 Cu 2.38, 4 Ag 2.54
Cu 0.0000 0.0000 0.5000 (multiplicity 1)  2 In 2.38
Re 0.5000 0.5000 0.5000 (multiplicity 1)  8 Ag 3.48, 4 Cu 3.60
Ag 0.0000 0.5000 0.0000 (multiplicity 2)  2 In 2.54

=====

(6)
Here is crystalline LiMnSn2 at its relaxed geometry from the Alexandria database. Energies are from PBE.

Crystal system: trigonal
Energy relative to the elements (eV/atom): -0.01

abc: 3.2321 3.2321 26.9277
angles: 90.00 90.00 120.00
Closest atoms and distances in Å follow each position.
Space group R-3m (No. 166, hexagonal axes)
Inequivalent atoms, fractional coordinates:
Li 0.0000 0.0000 0.0000 (multiplicity 3)  6 Sn 2.99, 6 Li 3.23
Mn 0.0000 0.0000 0.5000 (multiplicity 3)  6 Sn 2.85
Sn 0.0000 0.0000 0.2466 (multiplicity 6)  3 Mn 2.85, 3 Li 2.99

=====

(7)
Here is crystalline Nd3In4Rh4 at its relaxed geometry from the Alexandria database. Energies are from PBE.

Crystal system: orthorhombic
Energy relative to the elements (eV/atom): -0.59

abc: 4.0311 8.0289 15.1885
angles: 90.00 90.00 90.00
Closest atoms and distances in Å follow each position.
Space group Immm (No. 71)
Inequivalent atoms, fractional coordinates:
Nd 0.0000 0.0000 0.0000 (multiplicity 2)  4 Rh 3.13
Nd 0.0000 0.5000 0.1150 (multiplicity 4)  6 Rh 3.07-3.12, 4 In 3.28
In 0.0000 0.3050 0.3293 (multiplicity 8)  4 Rh 2.72-2.86
Rh 0.0000 0.0000 0.2326 (multiplicity 4)  6 In 2.72-2.86
Rh 0.0000 0.2013 0.5000 (multiplicity 4)  2 In 2.72

=====

(8)
Here is crystalline SnP2Pt2 at its relaxed geometry from the Alexandria database. Energies are from PBE.

Crystal system: tetragonal
Energy relative to the elements (eV/atom): 0.12

abc: 7.7203 7.7203 2.9648
angles: 90.00 90.00 90.00
Closest atoms and distances in Å follow each position.
Space group P4/mbm (No. 127)
Inequivalent atoms, fractional coordinates:
Sn 0.0000 0.0000 0.0000 (multiplicity 2)  2 Sn 2.96, 4 P 2.98
P 0.1398 0.3602 0.0000 (multiplicity 4)  4 Pt 2.57
Pt 0.1323 0.6323 0.5000 (multiplicity 4)  4 P 2.57

=====

(9)
Here is crystalline DyYMg4 at its relaxed geometry from the Alexandria database. Energies are from PBE.

Crystal system: monoclinic
Energy relative to the elements (eV/atom): -0.05

abc: 13.6180 3.4640 6.8349
angles: 90.00 104.53 90.00
Closest atoms and distances in Å follow each position.
Space group C2/m (No. 12)
Inequivalent atoms, fractional coordinates:
Dy 0.0000 0.0000 0.0000 (multiplicity 2)  8 Mg 3.36, 2 Y 3.42, 2 Dy 3.46
Y 0.0000 0.0000 0.5000 (multiplicity 2)  8 Mg 3.36, 2 Dy 3.42, 2 Y 3.46
Mg 0.1755 0.5000 0.3375 (multiplicity 4)  8 Mg 3.13-3.46, 2 Dy 3.36, 2 Y 3.36
Mg 0.1755 0.5000 0.8383 (multiplicity 4)  8 Mg 3.12-3.46, 2 Dy 3.36, 2 Y 3.36

=====

(10)
Here is crystalline Hf6Al3Ag at its relaxed geometry from the Alexandria database. Energies are from PBE.

Crystal system: orthorhombic
Energy relative to the elements (eV/atom): -0.06

abc: 11.0550 12.8953 5.8081
angles: 90.00 90.00 90.00
Closest atoms and distances in Å follow each position.
Space group Cmc2_1 (No. 36)
Inequivalent atoms, fractional coordinates:
Hf 0.0000 0.0823 0.0000 (multiplicity 4)  1 Ag 2.80, 4 Al 2.90-3.06
Hf 0.0000 0.3061 0.7523 (multiplicity 4)  2 Ag 2.81-3.06, 4 Al 2.84-3.05
Hf 0.2246 0.4699 0.7140 (multiplicity 8)  4 Al 2.82-2.98, 3 Hf 2.97-3.01
Hf 0.2485 0.2948 0.3836 (multiplicity 8)  2 Al 2.81-2.83, 1 Ag 2.90, 3 Hf 2.97-3.13
Al 0.0000 0.4713 0.4294 (multiplicity 4)  1 Ag 2.81, 6 Hf 2.84-3.05, 2 Al 3.00
Al 0.1116 0.1211 0.5263 (multiplicity 8)  1 Al 2.47
Ag 0.0000 0.2729 0.2308 (multiplicity 4)  5 Hf 2.80-3.06, 3 Al 2.81-2.88

=====

(11)
Here is crystalline Te2AsRh at its relaxed geometry from the Alexandria database. Energies are from PBE.

ΔE_f (raw) (meV per atom): 19
Crystal system: orthorhombic

abc: 3.4169 4.6917 11.6685
angles: 90.00 90.00 90.00
Closest atoms and distances in Å follow each position.
Space group Imm2 (No. 44)
Inequivalent atoms, fractional coordinates:
Te 0.0000 0.0000 0.0000 (multiplicity 2)  4 Rh 2.90, 2 As 2.96
Te 0.0000 0.5000 0.1961 (multiplicity 2)  2 Rh 2.80
As 0.0000 0.5000 0.8453 (multiplicity 2)  2 Rh 2.54
Rh 0.0000 0.0000 0.5058 (multiplicity 2)  2 As 2.54, 2 Te 2.80

=====

(12)
Here is crystalline Li8SbP2 at its relaxed geometry from the Alexandria database. Energies are from PBE.

ΔE_f (raw) (meV per atom): -582
Crystal system: monoclinic

abc: 7.1271 13.7108 4.7910
angles: 90.00 132.15 90.00
Closest atoms and distances in Å follow each position.
Space group C2/m (No. 12)
Inequivalent atoms, fractional coordinates:
Li 0.0000 0.0000 0.2416 (multiplicity 4)  2 Li 2.32-2.48, 2 P 2.53
Li 0.0000 0.3877 0.5000 (multiplicity 4)  2 P 2.74, 2 Sb 2.85, 4 Li 2.92-2.93
Li 0.2412 0.1833 0.7410 (multiplicity 8)  3 P 2.50-2.73, 2 Li 2.55-2.73
Sb 0.0000 0.5000 0.0000 (multiplicity 2)  12 Li 2.85-2.92
P 0.0000 0.1640 0.0000 (multiplicity 4)  10 Li 2.50-2.74

=====

(13)
Here is crystalline SrInGe at its relaxed geometry from the Alexandria database. Energies are from PBE.

Crystal system: monoclinic
Energy relative to the elements (eV/atom): -0.46

abc: 11.7277 4.5389 7.6702
angles: 90.00 125.69 90.00
Closest atoms and distances in Å follow each position.
Space group C2/m (No. 12)
Inequivalent atoms, fractional coordinates:
Sr 0.0631 0.0000 0.3214 (multiplicity 4)  5 Ge 3.26-3.46, 4 In 3.48-3.59
In 0.1673 0.5000 0.0750 (multiplicity 4)  3 Ge 2.84-2.89
Ge 0.1661 0.5000 0.6968 (multiplicity 4)  3 In 2.84-2.89